Record 1
! KLiRe2 (PBE-GGA, relaxed); values from VASP
! Polymorph energy (0 for the lowest one): 0.2748 eV/atom
! Formation enthalpy at 0 K: 0.89 eV per atom
! SG: Cmmm, No. 65
&SYSTEM
  ibrav = 0, nat = 4, ntyp = 3
/
ATOMIC_SPECIES
K 39.10 K.upf
Li 6.94 Li.upf
Re 186.21 Re.upf
CELL_PARAMETERS angstrom
1.4369 -2.2397 0.0000
1.4369 2.2397 0.0000
0.0000 0.0000 10.7894
ATOMIC_POSITIONS angstrom
K 0.0000 0.0000 0.0000
Li 0.0000 0.0000 5.3947
Re 1.4369 0.0000 3.0185
Re 1.4369 0.0000 7.7708



Record 2
! MgAlSnSb (PBE-GGA, relaxed); values from VASP
! SG: F-43m, No. 216
&SYSTEM
  ibrav = 0, nat = 4, ntyp = 4
/
ATOMIC_SPECIES
Mg 24.30 Mg.upf
Al 26.98 Al.upf
Sn 118.71 Sn.upf
Sb 121.76 Sb.upf
CELL_PARAMETERS angstrom
0.0000 3.6067 3.6067
3.6067 0.0000 3.6067
3.6067 3.6067 0.0000
ATOMIC_POSITIONS angstrom
Mg 0.0000 0.0000 0.0000
Al 3.6067 3.6067 3.6067
Sn 5.4101 5.4101 5.4101
Sb 1.8034 1.8034 1.8034



Record 3
! Ce3Ga3Tc2 (PBE-GGA, relaxed); values from VASP
! Polymorph energy (0 for the lowest one): 0.0306 eV/atom
! Formation enthalpy at 0 K: -0.40 eV per atom
! SG: Cmcm, No. 63
&SYSTEM
  ibrav = 0, nat = 16, ntyp = 3
/
ATOMIC_SPECIES
Ce 140.12 Ce.upf
Ga 69.72 Ga.upf
Tc 98.00 Tc.upf
CELL_PARAMETERS angstrom
2.3230 -4.8709 0.0000
2.3230 4.8709 0.0000
0.0000 0.0000 14.9378
ATOMIC_POSITIONS angstrom
Ce 2.3230 4.2831 9.1266
Ce 2.3230 4.2831 13.2801
Ce 2.3230 1.4908 11.2033
Ce 2.3230 -1.4908 3.7344
Ce 2.3230 -4.2831 1.6577
Ce 2.3230 -4.2831 5.8112
Ga 2.3230 1.4660 3.7344
Ga 2.3230 1.3517 7.9185
Ga 2.3230 1.3517 14.4881
Ga 2.3230 -1.3517 0.4497
Ga 2.3230 -1.3517 7.0192
Ga 2.3230 -1.4660 11.2033
Tc 2.3230 3.1144 1.6248
Tc 2.3230 3.1144 5.8441
Tc 2.3230 -3.1144 9.0937
Tc 2.3230 -3.1144 13.3130



Number 1: final energy -6.085 eV per atom. Number 2: final energy -3.297 eV per atom. Number 3: final energy -6.352 eV per atom.